# AcNbNiO6 (PBE with a Hubbard U, optimized geometry)
# **Final energy**: -7.131 eV per atom
# **Magnetic moment**: 2.8 μB per formula unit
data_AcNbNiO6
_cell_length_a 5.027
_cell_length_b 5.027
_cell_length_c 10.121
_cell_angle_alpha 90.00
_cell_angle_beta 90.00
_cell_angle_gamma 90.00
_space_group_name_H-M_alt 'P 42 n m'
_space_group_IT_number 102
loop_
_space_group_symop_operation_xyz
'x,y,z'
'-y+1/2,x+1/2,z+1/2'
'-x,-y,z'
'y+1/2,-x+1/2,z+1/2'
'-x+1/2,y+1/2,z+1/2'
'y,x,z'
'x+1/2,-y+1/2,z+1/2'
'-y,-x,z'
loop_
_atom_site_label
_atom_site_fract_x
_atom_site_fract_y
_atom_site_fract_z
Ac1 0.000 0.000 0.000
Nb1 0.000 0.000 0.658
Ni1 0.000 0.000 0.326
O1 0.165 0.165 0.491
O2 0.210 0.210 0.787
O3 0.222 0.222 0.188